No. 1
A plane-wave DFT calculation with PBE-GGA was carried out for an optimized crystal structure of LaReCl2.

abc: 4.5711 4.5711 4.3686
angles: 90.00 90.00 90.00
Last column: nearest neighbours and their distance in Å.
Atoms (fractional coordinates):
Re  0.0000  0.5000  0.5000  8 Cl 3.16, 4 La 3.23
Cl  0.5000  0.5000  0.0000  4 Re 3.16, 4 La 3.16, 4 Cl 3.23
Cl  0.0000  0.0000  0.0000  4 La 3.16, 4 Re 3.16, 4 Cl 3.23
La  0.5000  0.0000  0.5000  8 Cl 3.16, 4 Re 3.23

**Energy above the most stable polymorph in this dataset**: 0.469 eV/atom
**E_form (uncorrected)**: 0.00 eV per atom
**ρ**: 7.2 g/cm3

No. 2
A plane-wave DFT calculation with PBE-GGA was carried out for an optimized crystal structure of CeClO.

abc: 4.0284 7.2779 5.3933
angles: 104.79 111.93 90.00
Last column: nearest neighbours and their distance in Å.
Atoms (fractional coordinates):
O  0.6642  0.9025  0.3285  3 Ce 2.26-2.27
Ce  0.7953  0.2113  0.5906  3 O 2.26-2.27
Cl  0.8895  0.6524  0.7790  4 Ce 3.03-3.09, 1 O 3.26
Cl  0.1105  0.3476  0.2210  4 Ce 3.03-3.09, 1 O 3.26
Ce  0.2047  0.7887  0.4094  3 O 2.26-2.27
O  0.3358  0.0975  0.6715  3 Ce 2.26-2.27

**E_form (uncorrected)**: -2.83 eV per atom
**ρ**: 4.5 g/cm3

No. 3
A plane-wave DFT calculation with PBE-GGA was carried out for an optimized crystal structure of CaYC2N.

abc: 4.3743 4.1143 4.3743
angles: 90.00 90.00 90.00
Last column: nearest neighbours and their distance in Å.
Atoms (fractional coordinates):
Ca  0.5000  0.5000  0.5000  8 C 3.00, 4 Y 3.09
N  0.0000  0.0000  0.0000  2 Y 2.06, 4 C 2.19
Y  0.0000  0.5000  0.0000  2 N 2.06
C  0.5000  0.0000  0.0000  2 N 2.19
C  0.0000  0.0000  0.5000  2 N 2.19

**E_form (uncorrected)**: 1.64 eV per atom
**ρ**: 3.5 g/cm3